Below is a relaxed structure of CoRe3, with properties calculated at the PBE level.

- total magnetization (μB/f.u.) = 0.807
- space group = R-3m
- Fermi-level density of states (states/eV/atom) = 1.216
- formation energy (meV per atom) = 283

Unit cell a=5.0591 b=5.0591 c=5.0591 alpha=117.03 beta=117.03 gamma=117.03
Sites, in units of the cell vectors:
Re (0.5000, 0.0000, 0.5000)
Re (0.0000, 0.5000, 0.5000)
Re (0.5000, 0.5000, 0.0000)
Co (0.0000, 0.0000, 0.0000)

Below is a relaxed structure of CdHg2PdRu, with properties calculated at the PBE level.

- total magnetization (μB/f.u.) = 1.927
- space group = P4/mmm
- Fermi-level density of states (states/eV/atom) = 1.049
- formation energy (meV per atom) = 1331

Unit cell a=5.2118 b=5.1034 c=5.2118 alpha=90.00 beta=90.00 gamma=90.00
Sites, in units of the cell vectors:
Pd (0.5000, 0.5000, 0.5000)
Ru (0.0000, 0.5000, 0.0000)
Cd (0.0000, 0.0000, 0.0000)
Hg (0.5000, 0.0000, 0.0000)
Hg (0.0000, 0.0000, 0.5000)

Below is a relaxed structure of SiTc2SnAs, with properties calculated at the PBE level.

- formation energy (no corrections) (eV per formula unit) = 5.4
- total magnetization (μB/f.u.) = 2.220
- space group = P4/mmm
- Fermi-level density of states (states/eV/atom) = 1.190

Unit cell a=4.5653 b=4.9471 c=4.5653 alpha=90.00 beta=90.00 gamma=90.00
Sites, in units of the cell vectors:
Tc (0.0000, 0.0000, 0.5000)
Tc (0.5000, 0.0000, 0.0000)
Sn (0.0000, 0.5000, 0.0000)
As (0.5000, 0.5000, 0.5000)
Si (0.0000, 0.0000, 0.0000)

Below is a relaxed structure of RbYHf, with properties calculated at the PBE level.

- total magnetization (μB/f.u.) = 0.001
- space group = P4/nmm
- Fermi-level density of states (states/eV/atom) = 1.849
- formation energy (meV per atom) = 1060

Unit cell a=4.5663 b=4.5663 c=11.9217 alpha=90.00 beta=90.00 gamma=90.00
Sites, in units of the cell vectors:
Y (0.0000, 0.0000, 0.5000)
Y (0.5000, 0.5000, 0.5000)
Hf (0.5000, 0.0000, 0.6887)
Hf (0.0000, 0.5000, 0.3113)
Rb (0.0000, 0.5000, 0.8620)
Rb (0.5000, 0.0000, 0.1380)

Below is a relaxed structure of Cs2KMgPb, with properties calculated at the PBE level.

- total magnetization (μB/f.u.) = 0.001
- space group = P4/mmm
- Fermi-level density of states (states/eV/atom) = 0.969
- formation energy (meV per atom) = 99

Unit cell a=7.8326 b=7.8326 c=5.5550 alpha=90.00 beta=90.00 gamma=90.00
Sites, in units of the cell vectors:
K (0.5000, 0.5000, 0.5000)
Cs (0.0000, 0.5000, 0.0000)
Cs (0.5000, 0.0000, 0.0000)
Mg (0.0000, 0.0000, 0.5000)
Pb (0.0000, 0.0000, 0.0000)

Below is a relaxed structure of Al4GaPd10, with properties calculated at the PBE level.

- total magnetization (μB/f.u.) = 0.000
- space group = R-3m
- Fermi-level density of states (states/eV/atom) = 0.133
- formation energy (meV per atom) = -648

Unit cell a=4.0937 b=4.0937 c=17.2491 alpha=83.18 beta=83.18 gamma=60.00
Sites, in units of the cell vectors:
Ga (0.0000, 0.0000, 0.0000)
Al (0.8001, 0.8001, 0.5996)
Al (0.4003, 0.4003, 0.7991)
Al (0.1999, 0.1999, 0.4004)
Al (0.5997, 0.5997, 0.2009)
Pd (0.6492, 0.6492, 0.0523)
Pd (0.1503, 0.1503, 0.5491)
Pd (0.2495, 0.2495, 0.2516)
Pd (0.8497, 0.8497, 0.4509)
Pd (0.9498, 0.9498, 0.1507)
Pd (0.0502, 0.0502, 0.8493)
Pd (0.5500, 0.5500, 0.3499)
Pd (0.3508, 0.3508, 0.9477)
Pd (0.4500, 0.4500, 0.6501)
Pd (0.7505, 0.7505, 0.7484)

Below is a relaxed structure of AcHgPAu, with properties calculated at the PBE level.

- total magnetization (μB/f.u.) = 0.000
- space group = F-43m
- Fermi-level density of states (states/eV/atom) = 0.446
- formation energy (meV per atom) = -487

Unit cell a=5.2123 b=5.2123 c=5.2123 alpha=60.00 beta=60.00 gamma=60.00
Sites, in units of the cell vectors:
Hg (0.0000, 0.0000, 0.0000)
Au (0.2500, 0.2500, 0.2500)
P (0.7500, 0.7500, 0.7500)
Ac (0.5000, 0.5000, 0.5000)

Below is a relaxed structure of Zr3TiRh, with properties calculated at the PBE level.

- total magnetization (μB/f.u.) = 0.000
- space group = Pm-3m
- Fermi-level density of states (states/eV/atom) = 1.393
- formation energy (meV per atom) = 834

Unit cell a=4.8351 b=4.8351 c=4.8351 alpha=90.00 beta=90.00 gamma=90.00
Sites, in units of the cell vectors:
Ti (0.0000, 0.0000, 0.0000)
Zr (0.5000, 0.0000, 0.0000)
Zr (0.0000, 0.5000, 0.0000)
Zr (0.0000, 0.0000, 0.5000)
Rh (0.5000, 0.5000, 0.5000)

Below is a relaxed structure of Zr2Mn2Al5Au, with properties calculated at the PBE level.

- total magnetization (μB/f.u.) = 3.755
- space group = P4/mbm
- Fermi-level density of states (states/eV/atom) = 0.732
- formation energy (meV per atom) = -288

Unit cell a=4.0646 b=9.0358 c=9.0358 alpha=90.00 beta=90.00 gamma=90.00
Sites, in units of the cell vectors:
Mn (0.0000, 0.6125, 0.8875)
Mn (0.0000, 0.3875, 0.1125)
Mn (0.0000, 0.8875, 0.3875)
Mn (0.0000, 0.1125, 0.6125)
Al (0.5000, 0.7890, 0.9363)
Al (0.5000, 0.4363, 0.2890)
Al (0.5000, 0.9363, 0.2110)
Al (0.5000, 0.2890, 0.5637)
Al (0.5000, 0.7110, 0.4363)
Al (0.5000, 0.5000, 0.0000)
Al (0.5000, 0.5637, 0.7110)
Al (0.5000, 0.0000, 0.5000)
Al (0.5000, 0.0637, 0.7890)
Al (0.5000, 0.2110, 0.0637)
Au (0.0000, 0.5000, 0.5000)
Au (0.0000, 0.0000, 0.0000)
Zr (0.0000, 0.1816, 0.3184)
Zr (0.0000, 0.8184, 0.6816)
Zr (0.0000, 0.3184, 0.8184)
Zr (0.0000, 0.6816, 0.1816)

Below is a relaxed structure of MgScN2F, with properties calculated at the PBE level.

- formation energy (no corrections) (eV per formula unit) = -3.6
- total magnetization (μB/f.u.) = 0.398
- space group = P4/mmm
- Fermi-level density of states (states/eV/atom) = 0.471

Unit cell a=4.1218 b=4.1218 c=4.0265 alpha=90.00 beta=90.00 gamma=90.00
Sites, in units of the cell vectors:
N (0.5000, 0.0000, 0.0000)
N (0.0000, 0.5000, 0.0000)
Sc (0.0000, 0.0000, 0.0000)
F (0.0000, 0.0000, 0.5000)
Mg (0.5000, 0.5000, 0.5000)

Below is a relaxed structure of Ta4CoRe3, with properties calculated at the PBE level.

- total magnetization (μB/f.u.) = 1.714
- space group = P4/mmm
- Fermi-level density of states (states/eV/atom) = 0.482
- formation energy (meV per atom) = -332

Unit cell a=3.1930 b=3.1930 c=12.5819 alpha=90.00 beta=90.00 gamma=90.00
Sites, in units of the cell vectors:
Ta (0.0000, 0.0000, 0.8802)
Ta (0.0000, 0.0000, 0.1198)
Ta (0.0000, 0.0000, 0.3727)
Ta (0.0000, 0.0000, 0.6273)
Re (0.5000, 0.5000, 0.7560)
Re (0.5000, 0.5000, 0.2440)
Re (0.5000, 0.5000, 0.5000)
Co (0.5000, 0.5000, 0.0000)

Below is a relaxed structure of KAlW, with properties calculated at the PBE level.

- total magnetization (μB/f.u.) = 0.000
- space group = Fmm2
- Fermi-level density of states (states/eV/atom) = 0.219
- formation energy (meV per atom) = 752

Unit cell a=8.4182 b=8.3336 c=2.7825 alpha=82.16 beta=78.73 gamma=19.11
Sites, in units of the cell vectors:
W (0.6462, 0.6462, 0.3538)
K (0.3358, 0.3358, 0.6642)
Al (0.0181, 0.0181, 0.9819)

Below is a relaxed structure of TcPdSeN2, with properties calculated at the PBE level.

- formation energy (no corrections) (eV per formula unit) = 3.0
- total magnetization (μB/f.u.) = 0.000
- space group = P4/mmm
- Fermi-level density of states (states/eV/atom) = 0.898

Unit cell a=3.7810 b=3.7810 c=5.5071 alpha=90.00 beta=90.00 gamma=90.00
Sites, in units of the cell vectors:
N (0.5000, 0.0000, 0.0000)
N (0.0000, 0.5000, 0.0000)
Tc (0.0000, 0.0000, 0.0000)
Se (0.0000, 0.0000, 0.5000)
Pd (0.5000, 0.5000, 0.5000)

Below is a relaxed structure of LiCeNdPt, with properties calculated at the PBE level.

- total magnetization (μB/f.u.) = 1.101
- space group = F-43m
- Fermi-level density of states (states/eV/atom) = 2.230
- formation energy (meV per atom) = -443

Unit cell a=5.1207 b=5.1207 c=5.1207 alpha=60.00 beta=60.00 gamma=60.00
Sites, in units of the cell vectors:
Ce (0.0000, 0.0000, 0.0000)
Pt (0.7500, 0.7500, 0.7500)
Li (0.2500, 0.2500, 0.2500)
Nd (0.5000, 0.5000, 0.5000)

Below is a relaxed structure of Pm3Sm4Er, with properties calculated at the PBE level.

- total magnetization (μB/f.u.) = 0.000
- space group = C2/m
- Fermi-level density of states (states/eV/atom) = 1.707
- formation energy (meV per atom) = 155

Unit cell a=3.5048 b=6.8719 c=11.9393 alpha=106.72 beta=98.44 gamma=90.00
Sites, in units of the cell vectors:
Sm (0.8762, 0.6357, 0.7524)
Sm (0.1238, 0.3643, 0.2476)
Sm (0.2586, 0.7567, 0.5173)
Sm (0.7414, 0.2433, 0.4827)
Er (0.5000, 0.0000, 0.0000)
Pm (0.1242, 0.8844, 0.2484)
Pm (0.0000, 0.5000, 0.0000)
Pm (0.8758, 0.1156, 0.7516)

Below is a relaxed structure of B5C7, with properties calculated at the PBE level.

- total magnetization (μB/f.u.) = 0.000
- space group = Cm
- Fermi-level density of states (states/eV/atom) = 0.101
- formation energy (meV per atom) = 349

Unit cell a=6.6234 b=7.1971 c=7.1971 alpha=158.87 beta=139.70 gamma=46.40
Sites, in units of the cell vectors:
C (0.6563, 0.6230, 0.0333)
C (0.1237, 0.7837, 0.3400)
C (0.0168, 0.6637, 0.3530)
C (0.4811, 0.8369, 0.6443)
C (0.1019, 0.4522, 0.6497)
C (0.4898, 0.5048, 0.9850)
C (0.1385, 0.1302, 0.0084)
B (0.5369, 0.9525, 0.5844)
B (0.9813, 0.3193, 0.6621)
B (0.5922, 0.3040, 0.2882)
B (0.5544, 0.1708, 0.3836)
B (0.0770, 0.0090, 0.0681)

Below is a relaxed structure of Cs3MoPt, with properties calculated at the PBE level.

- total magnetization (μB/f.u.) = 5.000
- space group = Pm-3m
- Fermi-level density of states (states/eV/atom) = 0.000
- formation energy (meV per atom) = 985

Unit cell a=6.6654 b=6.6654 c=6.6654 alpha=90.00 beta=90.00 gamma=90.00
Sites, in units of the cell vectors:
Pt (0.0000, 0.0000, 0.0000)
Cs (0.0000, 0.0000, 0.5000)
Cs (0.0000, 0.5000, 0.0000)
Cs (0.5000, 0.0000, 0.0000)
Mo (0.5000, 0.5000, 0.5000)

Below is a relaxed structure of Hg2IrSe, with properties calculated at the PBE level.

- formation energy (no corrections) (eV per formula unit) = 2.3
- total magnetization (μB/f.u.) = 0.000
- space group = Pmmm
- Fermi-level density of states (states/eV/atom) = 0.728

Unit cell a=3.4503 b=3.8701 c=5.8980 alpha=90.00 beta=90.00 gamma=90.00
Sites, in units of the cell vectors:
Se (0.5000, 0.5000, 0.7500)
Hg (0.0000, 0.0000, 0.4893)
Hg (0.0000, 0.0000, 0.0107)
Ir (0.5000, 0.5000, 0.2500)